Record 1
Material: SiTc3Ni
Method: DFT, PBE
State: optimized geometry

a = 4.4145 Å, b = 4.4145 Å, c = 4.4145 Å
α = 90.00°, β = 90.00°, γ = 90.00°
Element x y z (fractional)
Si  0.0000  0.0000  0.0000
Tc  0.0000  0.5000  0.5000
Tc  0.5000  0.0000  0.5000
Tc  0.5000  0.5000  0.0000
Ni  0.5000  0.5000  0.5000

Results
Calculated total energy = -34.86 eV per cell
Symmetry = Pm-3m
Formation energy (no corrections) = 1489 meV per atom



Record 2
Material: Si2Tc2Ni
Method: DFT, PBE
State: optimized geometry

a = 6.6873 Å, b = 6.6873 Å, c = 3.0988 Å
α = 90.00°, β = 90.00°, γ = 90.00°
Element x y z (fractional)
Si  0.1510  0.3490  0.0000
Si  0.3490  0.8490  0.0000
Si  0.6510  0.1510  0.0000
Si  0.8490  0.6510  0.0000
Tc  0.1460  0.6460  0.5000
Tc  0.3540  0.1460  0.5000
Tc  0.6460  0.8540  0.5000
Tc  0.8540  0.3540  0.5000
Ni  0.0000  0.0000  0.5000
Ni  0.5000  0.5000  0.5000

Results
Calculated total energy = -75.87 eV per cell
Symmetry = P4/mbm
Formation energy (no corrections) = -115 meV per atom



Record 3
Material: SiTcNi
Method: DFT, PBE
State: optimized geometry

a = 4.9848 Å, b = 4.9848 Å, c = 5.4868 Å
α = 104.77°, β = 104.77°, γ = 34.79°
Element x y z (fractional)
Si  0.0000  0.0000  0.0000
Si  0.7073  0.7073  0.3303
Tc  0.0332  0.0332  0.4723
Tc  0.3492  0.3492  0.6676
Ni  0.3388  0.3388  0.1529
Ni  0.6554  0.6554  0.8610

Results
Calculated total energy = -45.26 eV per cell
Symmetry = Cm
Formation energy (no corrections) = -354 meV per atom



Record 4
Material: SiTcNi2
Method: DFT, PBE
State: optimized geometry

a = 2.6901 Å, b = 2.6901 Å, c = 6.5400 Å
α = 90.00°, β = 90.00°, γ = 90.00°
Element x y z (fractional)
Si  0.0000  0.0000  0.0000
Tc  0.0000  0.0000  0.5000
Ni  0.5000  0.5000  0.2112
Ni  0.5000  0.5000  0.7888

Results
Calculated total energy = -28.24 eV per cell
Symmetry = P4/mmm
Formation energy (no corrections) = -221 meV per atom